1.
# Nd2HoZr

A geometry-optimized Nd2HoZr structure (PBE, the Alexandria database).

The calculation puts the density of states at the Fermi level at 5.67 states/eV per cell. As for the volume: 30.46 Å³ per atom. The value obtained for the total energy is -5.494 eV per atom. The calculation puts the energy of formation at 172 meV per atom.

It has space group P4/mmm (No. 123), with a = 4.079 Å, b = 4.079 Å, c = 7.321 Å, α = 90.00°, β = 90.00° and γ = 90.00°. The inequivalent atoms are Nd at (0.000, 0.000, 0.226), Ho at (0.500, 0.500, 0.500) and Zr at (0.500, 0.500, 0.000).

***

2.
# Mn3CoSe

A geometry-optimized Mn3CoSe structure (PBE, the Alexandria database).

The calculation puts the density of states at the Fermi level at 2.07 states/eV per cell. As for the volume: 18.32 Å³ per atom. The uncorrected formation energy is 0.95 eV/atom. The value obtained for the total energy is -6.672 eV per atom.

It has space group Pm-3m (No. 221), with a = 4.508 Å, b = 4.508 Å, c = 4.508 Å, α = 90.00°, β = 90.00° and γ = 90.00°. The inequivalent atoms are Mn at (0.000, 0.000, 0.500), Co at (0.500, 0.500, 0.500) and Se at (0.000, 0.000, 0.000).

***

3.
# Rb3Tb3ZrTe8

A geometry-optimized Rb3Tb3ZrTe8 structure (PBE, the Alexandria database).

As for the volume: 39.53 Å³ per atom. The uncorrected formation energy is -1.28 eV/atom. The value obtained for the total energy is -4.641 eV per atom.

It has space group R-3m (No. 166, hexagonal axes), with a = 8.8360 Å, b = 8.8360 Å, c = 26.3107 Å, α = 90.00°, β = 90.00° and γ = 120.00°. The inequivalent atoms are Rb at (0.0000, 0.5000, 0.0000), Tb at (0.0000, 0.5000, 0.5000), Zr at (0.0000, 0.0000, 0.5000), Te at (0.0000, 0.0000, 0.2336) and Te at (0.0136, 0.5068, 0.2312).

***

4.
# Ge2PbAu5

A geometry-optimized Ge2PbAu5 structure (PBE, the Alexandria database).

The calculation puts the density of states at the Fermi level at 4.68 states/eV per cell. As for the volume: 21.00 Å³ per atom. The value obtained for the total energy is -3.654 eV per atom. The calculation puts the energy of formation at 13 meV per atom.

It has space group Immm (No. 71), with a = 4.367 Å, b = 7.325 Å, c = 10.505 Å, α = 90.00°, β = 90.00° and γ = 90.00°. The inequivalent atoms are Ge at (0.000, 0.000, 0.247), Pb at (0.000, 0.500, 0.000), Au at (0.000, 0.000, 0.000) and Au at (0.000, 0.301, 0.362).

***

5.
# KAcAu4

A geometry-optimized KAcAu4 structure (PBE, the Alexandria database).

The calculation puts the density of states at the Fermi level at 5.46 states/eV per cell. As for the volume: 28.00 Å³ per atom. The value obtained for the total energy is -3.550 eV per atom. The calculation puts the energy of formation at -497 meV per atom.

It has space group I-4m2 (No. 119), with a = 4.403 Å, b = 4.403 Å, c = 17.334 Å, α = 90.00°, β = 90.00° and γ = 90.00°. The inequivalent atoms are K at (0.000, 0.000, 0.000), Ac at (0.000, 0.500, 0.250), Au at (0.000, 0.000, 0.421) and Au at (0.000, 0.500, 0.672).

***

6.
# Nd3Sm6HoTm2

A geometry-optimized Nd3Sm6HoTm2 structure (PBE, the Alexandria database).

The calculation puts the density of states at the Fermi level at 31.84 states/eV per cell. As for the volume: 33.24 Å³ per atom. The value obtained for the total energy is -4.660 eV per atom. The calculation puts the energy of formation at 19 meV per atom.

It has space group C2/m (No. 12), with a = 6.259 Å, b = 10.841 Å, c = 11.941 Å, α = 90.00°, β = 100.05° and γ = 90.00°. The inequivalent atoms are Nd at (0.000, 0.000, 0.000), Nd at (0.000, 0.333, 0.000), Sm at (0.248, 0.000, 0.745), Sm at (0.249, 0.333, 0.745), Ho at (0.000, 0.500, 0.500) and Tm at (0.000, 0.167, 0.500).

***

7.
# RbNpPtS3

A geometry-optimized RbNpPtS3 structure (PBE, the Alexandria database).

The calculation puts the density of states at the Fermi level at 33.84 states/eV per cell. As for the volume: 25.01 Å³ per atom. The uncorrected formation energy is -1.09 eV/atom. The value obtained for the total energy is -6.475 eV per atom.

It has space group Cmcm (No. 63), with a = 3.959 Å, b = 14.850 Å, c = 10.209 Å, α = 90.00°, β = 90.00° and γ = 90.00°. The inequivalent atoms are Rb at (0.000, 0.244, 0.250), Np at (0.000, 0.500, 0.000), Pt at (0.000, 0.036, 0.750), S at (0.000, 0.119, 0.547) and S at (0.000, 0.444, 0.750).

***

8.
# La4BiN

A geometry-optimized La4BiN structure (PBE, the Alexandria database).

The calculation puts the density of states at the Fermi level at 22.96 states/eV per cell. As for the volume: 29.30 Å³ per atom. The uncorrected formation energy is -0.73 eV/atom. The value obtained for the total energy is -6.053 eV per atom.

It has space group C2/c (No. 15), with a = 15.309 Å, b = 6.309 Å, c = 7.617 Å, α = 90.00°, β = 107.09° and γ = 90.00°. The inequivalent atoms are La at (0.098, 0.082, 0.451), La at (0.192, 0.436, 0.186), Bi at (0.000, 0.383, 0.750) and N at (0.250, 0.250, 0.500).

***

9.
# Li4MgGa3

A geometry-optimized Li4MgGa3 structure (PBE, the Alexandria database).

The calculation puts the density of states at the Fermi level at 5.69 states/eV per cell. As for the volume: 19.75 Å³ per atom. The value obtained for the total energy is -2.436 eV per atom. The calculation puts the energy of formation at -145 meV per atom.

It has space group C2/m (No. 12), with a = 22.813 Å, b = 2.952 Å, c = 4.710 Å, α = 90.00°, β = 95.12° and γ = 90.00°. The inequivalent atoms are Li at (0.104, 0.000, 0.035), Li at (0.191, 0.000, 0.554), Mg at (0.000, 0.000, 0.500), Ga at (0.000, 0.500, 0.000) and Ga at (0.204, 0.500, 0.064).

***

10.
# Dy4Cd

A geometry-optimized Dy4Cd structure (PBE, the Alexandria database).

The calculation puts the density of states at the Fermi level at 8.09 states/eV per cell. As for the volume: 36.00 Å³ per atom. The value obtained for the total energy is -3.434 eV per atom. The calculation puts the energy of formation at 431 meV per atom.

It has space group Pm-3m (No. 221), with a = 5.646 Å, b = 5.646 Å, c = 5.646 Å, α = 90.00°, β = 90.00° and γ = 90.00°. The inequivalent atoms are Dy at (0.000, 0.000, 0.000), Dy at (0.000, 0.500, 0.500) and Cd at (0.500, 0.500, 0.500).

***

11.
# Li3TiIn4

A geometry-optimized Li3TiIn4 structure (PBE, the Alexandria database).

The calculation puts the density of states at the Fermi level at 3.60 states/eV per cell. As for the volume: 19.38 Å³ per atom. The value obtained for the total energy is -3.306 eV per atom. The calculation puts the energy of formation at -232 meV per atom.

It has space group P4/mmm (No. 123), with a = 3.216 Å, b = 3.216 Å, c = 14.989 Å, α = 90.00°, β = 90.00° and γ = 90.00°. The inequivalent atoms are Li at (0.000, 0.000, 0.000), Li at (0.000, 0.000, 0.254), Ti at (0.000, 0.000, 0.500), In at (0.500, 0.500, 0.130) and In at (0.500, 0.500, 0.373).

***

12.
# Sr2SnRhI

A geometry-optimized Sr2SnRhI structure (PBE, the Alexandria database).

The calculation puts the density of states at the Fermi level at 2.51 states/eV per cell. As for the volume: 35.66 Å³ per atom. The uncorrected formation energy is -0.73 eV/atom. The value obtained for the total energy is -3.982 eV per atom.

It has space group P4/mmm (No. 123), with a = 5.975 Å, b = 5.975 Å, c = 4.995 Å, α = 90.00°, β = 90.00° and γ = 90.00°. The inequivalent atoms are Sr at (0.000, 0.500, 0.000), Sn at (0.000, 0.000, 0.500), Rh at (0.000, 0.000, 0.000) and I at (0.500, 0.500, 0.500).

***

13.
# HoLuInPd

A geometry-optimized HoLuInPd structure (PBE, the Alexandria database).

The calculation puts the density of states at the Fermi level at 14.50 states/eV per cell. As for the volume: 23.40 Å³ per atom. The value obtained for the total energy is -4.876 eV per atom. The calculation puts the energy of formation at -619 meV per atom.

It has space group F-43m (No. 216), with a = 7.208 Å, b = 7.208 Å, c = 7.208 Å, α = 90.00°, β = 90.00° and γ = 90.00°. The inequivalent atoms are Ho at (0.000, 0.000, 0.000), Lu at (0.000, 0.000, 0.500), In at (0.250, 0.250, 0.250) and Pd at (0.250, 0.250, 0.750).

***

14.
# TbDy2Er2Mg5

A geometry-optimized TbDy2Er2Mg5 structure (PBE, the Alexandria database).

The calculation puts the density of states at the Fermi level at 15.83 states/eV per cell. As for the volume: 28.11 Å³ per atom. The value obtained for the total energy is -3.018 eV per atom. The calculation puts the energy of formation at 75 meV per atom.

It has space group P4/mbm (No. 127), with a = 10.539 Å, b = 10.539 Å, c = 5.061 Å, α = 90.00°, β = 90.00° and γ = 90.00°. The inequivalent atoms are Tb at (0.000, 0.000, 0.000), Dy at (0.178, 0.322, 0.000), Er at (0.119, 0.619, 0.000), Mg at (0.000, 0.500, 0.500) and Mg at (0.075, 0.803, 0.500).

***

15.
# BaAlPd3

A geometry-optimized BaAlPd3 structure (PBE, the Alexandria database).

The calculation puts the density of states at the Fermi level at 3.21 states/eV per cell. As for the volume: 21.51 Å³ per atom. The value obtained for the total energy is -4.831 eV per atom. The calculation puts the energy of formation at -582 meV per atom.

It has space group P6_3/mmc (No. 194), with a = 6.2512 Å, b = 6.2512 Å, c = 6.3558 Å, α = 90.00°, β = 90.00° and γ = 120.00°. The inequivalent atoms are Ba at (0.3333, 0.6667, 0.2500), Al at (0.0000, 0.0000, 0.0000) and Pd at (0.1802, 0.3605, 0.7500).

***

16.
# AgF2

A geometry-optimized AgF2 structure (PBE, the Alexandria database).

The calculation puts the density of states at the Fermi level at 9.14 states/eV per cell. As for the volume: 15.04 Å³ per atom. The uncorrected formation energy is -1.14 eV/atom. The value obtained for the total energy is -3.336 eV per atom.

It has space group Pbca (No. 61), with a = 5.311 Å, b = 5.718 Å, c = 5.945 Å, α = 90.00°, β = 90.00° and γ = 90.00°. The inequivalent atoms are Ag at (0.000, 0.000, 0.000) and F at (0.190, 0.198, 0.380).

***

17.
# HgBiSb2

A geometry-optimized HgBiSb2 structure (PBE, the Alexandria database).

The calculation puts the density of states at the Fermi level at 1.71 states/eV per cell. As for the volume: 28.44 Å³ per atom. The uncorrected formation energy is 0.20 eV/atom. The value obtained for the total energy is -2.908 eV per atom.

It has space group P4/mmm (No. 123), with a = 4.126 Å, b = 4.126 Å, c = 6.682 Å, α = 90.00°, β = 90.00° and γ = 90.00°. The inequivalent atoms are Hg at (0.000, 0.000, 0.000), Bi at (0.000, 0.000, 0.500) and Sb at (0.500, 0.500, 0.250).

***

18.
# TaReAu2

A geometry-optimized TaReAu2 structure (PBE, the Alexandria database).

The calculation puts the density of states at the Fermi level at 13.61 states/eV per cell. As for the volume: 17.19 Å³ per atom. The value obtained for the total energy is -7.491 eV per atom. The calculation puts the energy of formation at 223 meV per atom.

It has space group R3m (No. 160, hexagonal axes), with a = 2.8643 Å, b = 2.8643 Å, c = 29.0339 Å, α = 90.00°, β = 90.00° and γ = 120.00°. The inequivalent atoms are Ta at (0.0000, 0.0000, 0.0000), Re at (0.0000, 0.0000, 0.7495), Au at (0.0000, 0.0000, 0.2505) and Au at (0.0000, 0.0000, 0.4974).